1.
Material: KCuF3
Method: DFT, PBE
State: optimized geometry

The structure in CIF format:
```
data_KCuF3
_symmetry_space_group_name_H-M 'P m -3 m'
_symmetry_Int_Tables_number 221
_symmetry_space_group_name_Hall '-P 4 2 3'
_cell_length_a 4.066
_cell_length_b 4.066
_cell_length_c 4.066
_cell_angle_alpha 90.00
_cell_angle_beta 90.00
_cell_angle_gamma 90.00
loop_
_atom_site_label
_atom_site_fract_x
_atom_site_fract_y
_atom_site_fract_z
K1 0.000 0.000 0.000
Cu1 0.500 0.500 0.500
F1 0.000 0.500 0.500
```

Calculated density: 3.94 g/cm3
ΔE_f (raw): -2106 meV per atom
Calculated volume: 13.44 Å³ per atom



2.
Material: BrCl3
Method: DFT, PBE
State: optimized geometry

The structure in CIF format:
```
data_BrCl3
_symmetry_space_group_name_H-M 'P m m n'
_symmetry_Int_Tables_number 59
_cell_length_a 4.997
_cell_length_b 6.278
_cell_length_c 9.866
_cell_angle_alpha 90.00
_cell_angle_beta 90.00
_cell_angle_gamma 90.00
loop_
_symmetry_equiv_pos_as_xyz
'x,y,z'
'-x,-y,-z'
'-x+1/2,-y+1/2,z'
'x+1/2,y+1/2,-z'
'x+1/2,-y,-z'
'-x+1/2,y,z'
'-x,y+1/2,-z'
'x,-y+1/2,z'
loop_
_atom_site_label
_atom_site_fract_x
_atom_site_fract_y
_atom_site_fract_z
Br1 0.250 0.250 0.071
Cl1 0.051 0.250 0.636
Cl2 0.250 0.750 0.933
```

Calculated density: 2.00 g/cm3
ΔE_f (raw): 124 meV per atom
Calculated volume: 38.69 Å³ per atom



3.
Material: Tb7PrHo2
Method: DFT, PBE
State: optimized geometry

The structure in CIF format:
```
data_Tb7PrHo2
_symmetry_space_group_name_H-M 'C m m m'
_symmetry_Int_Tables_number 65
_symmetry_space_group_name_Hall '-C 2 2'
_cell_length_a 8.778
_cell_length_b 15.998
_cell_length_c 5.663
_cell_angle_alpha 90.00
_cell_angle_beta 90.00
_cell_angle_gamma 90.00
loop_
_atom_site_label
_atom_site_fract_x
_atom_site_fract_y
_atom_site_fract_z
Tb1 0.000 0.000 0.000
Tb2 0.000 0.279 0.500
Tb3 0.177 0.384 0.000
Pr1 0.000 0.500 0.500
Ho1 0.000 0.203 0.000
```

E above lowest polymorph: 15.520 kcal/mol of atoms
Calculated density: 6.61 g/cm3
Calculated volume: 39.76 Å³ per atom
ΔH_f (0 K): 687 meV per atom



4.
Material: Ti5VIn4
Method: DFT, PBE
State: optimized geometry

The structure in CIF format:
```
data_Ti5VIn4
_symmetry_space_group_name_H-M 'I 4'
_symmetry_Int_Tables_number 79
_cell_length_a 8.379
_cell_length_b 8.379
_cell_length_c 5.811
_cell_angle_alpha 90.00
_cell_angle_beta 90.00
_cell_angle_gamma 90.00
loop_
_symmetry_equiv_pos_as_xyz
'x,y,z'
'-y,x,z'
'-x,-y,z'
'y,-x,z'
'x+1/2,y+1/2,z+1/2'
'-y+1/2,x+1/2,z+1/2'
'-x+1/2,-y+1/2,z+1/2'
'y+1/2,-x+1/2,z+1/2'
loop_
_atom_site_label
_atom_site_fract_x
_atom_site_fract_y
_atom_site_fract_z
Ti1 0.000 0.000 0.000
Ti2 0.078 0.731 0.760
V1 0.000 0.000 0.562
In1 0.080 0.727 0.268
```

Calculated density: 6.10 g/cm3
Calculated volume: 20.40 Å³ per atom
ΔH_f (0 K): 192 meV per atom